[1]
VASP calculation (GGA-PBE) on a relaxed structure of SnRu2Cl.

Summary:
raw total energy: -89.272 eV for the cell shown
offset from the most stable computed form: 0.00 kcal/mol of atoms
N(E_F): 19.1 states/eV/cell
density: 7589 kg/m3
formation energy from raw total energies: 12.0 kcal/mol of atoms
crystal system: tetragonal

```
data_SnRu2Cl
_space_group_name_H-M_alt 'I -4 2 d'
_space_group_IT_number 122
_space_group_name_Hall 'I -4 2bw'
_cell_length_a 4.489
_cell_length_b 4.489
_cell_length_c 15.478
_cell_angle_alpha 90.00
_cell_angle_beta 90.00
_cell_angle_gamma 90.00
loop_
_atom_site_label
_atom_site_fract_x
_atom_site_fract_y
_atom_site_fract_z
Sn1 0.000 0.000 0.000
Ru1 0.153 0.250 0.625
Cl1 0.000 0.000 0.500
```

=====

[2]
VASP calculation (GGA-PBE) on a relaxed structure of PrLuAgRh.

Summary:
raw total energy: -85.981 eV for the cell shown
N(E_F): 13.2 states/eV/cell
density: 9629 kg/m3
crystal system: cubic
calculated formation energy: -0.50 eV per atom

```
data_PrLuAgRh
_space_group_name_H-M_alt 'F -4 3 m'
_space_group_IT_number 216
_space_group_name_Hall 'F -4 2 3'
_cell_length_a 7.135
_cell_length_b 7.135
_cell_length_c 7.135
_cell_angle_alpha 90.00
_cell_angle_beta 90.00
_cell_angle_gamma 90.00
loop_
_atom_site_label
_atom_site_fract_x
_atom_site_fract_y
_atom_site_fract_z
Pr1 0.000 0.000 0.000
Lu1 0.000 0.000 0.500
Ag1 0.250 0.250 0.750
Rh1 0.250 0.250 0.250
```

=====

[3]
VASP calculation (GGA-PBE) on a relaxed structure of SiTe4.

Summary:
raw total energy: -32.783 eV for the cell shown
offset from the most stable computed form: 3.57 kcal/mol of atoms
N(E_F): 7.0 states/eV/cell
density: 5642 kg/m3
formation energy from raw total energies: 7.4 kcal/mol of atoms
crystal system: tetragonal

```
data_SiTe4
_space_group_name_H-M_alt 'I 4/m'
_space_group_IT_number 87
_space_group_name_Hall '-I 4'
_cell_length_a 9.250
_cell_length_b 9.250
_cell_length_c 3.704
_cell_angle_alpha 90.00
_cell_angle_beta 90.00
_cell_angle_gamma 90.00
loop_
_atom_site_label
_atom_site_fract_x
_atom_site_fract_y
_atom_site_fract_z
Si1 0.000 0.000 0.000
Te1 0.123 0.226 0.500
```

=====

[4]
VASP calculation (GGA-PBE) on a relaxed structure of Sr5Hg3.

Summary:
raw total energy: -24.914 eV for the cell shown
offset from the most stable computed form: 0.69 kcal/mol of atoms
N(E_F): 15.4 states/eV/cell
density: 5623 kg/m3
crystal system: hexagonal
calculated formation energy: -0.39 eV per atom

```
data_Sr5Hg3
_space_group_name_H-M_alt 'P 63/m c m'
_space_group_IT_number 193
_space_group_name_Hall '-P 6c 2'
_cell_length_a 9.8511
_cell_length_b 9.8511
_cell_length_c 7.3085
_cell_angle_alpha 90.00
_cell_angle_beta 90.00
_cell_angle_gamma 120.00
loop_
_atom_site_label
_atom_site_fract_x
_atom_site_fract_y
_atom_site_fract_z
Sr1 0.0000 0.2561 0.2500
Sr2 0.3333 0.6667 0.0000
Hg1 0.0000 0.3941 0.7500
```

=====

[5]
VASP calculation (GGA-PBE) on a relaxed structure of ErGa4Cu.

Summary:
raw total energy: -22.068 eV for the cell shown
N(E_F): 2.5 states/eV/cell
density: 7687 kg/m3
crystal system: triclinic
calculated formation energy: -0.22 eV per atom

```
data_ErGa4Cu
_space_group_name_H-M_alt 'P -1'
_space_group_IT_number 2
_cell_length_a 3.474
_cell_length_b 3.499
_cell_length_c 9.179
_cell_angle_alpha 89.31
_cell_angle_beta 89.39
_cell_angle_gamma 80.80
loop_
_space_group_symop_operation_xyz
'x,y,z'
'-x,-y,-z'
loop_
_atom_site_label
_atom_site_fract_x
_atom_site_fract_y
_atom_site_fract_z
Er1 0.000 0.000 0.000
Ga1 0.033 0.034 0.642
Ga2 0.494 0.492 0.210
Cu1 0.500 0.500 0.500
```

=====

[6]
VASP calculation (GGA-PBE) on a relaxed structure of InSbBr2.

Summary:
raw total energy: -11.604 eV for the cell shown
offset from the most stable computed form: 0.00 kcal/mol of atoms
density: 4297 kg/m3
formation energy from raw total energies: -8.1 kcal/mol of atoms
crystal system: monoclinic

```
data_InSbBr2
_space_group_name_H-M_alt 'P 1 m 1'
_space_group_IT_number 6
_cell_length_a 5.749
_cell_length_b 4.692
_cell_length_c 5.801
_cell_angle_alpha 90.00
_cell_angle_beta 101.75
_cell_angle_gamma 90.00
loop_
_space_group_symop_operation_xyz
'x,y,z'
'x,-y,z'
loop_
_atom_site_label
_atom_site_fract_x
_atom_site_fract_y
_atom_site_fract_z
In1 0.000 0.000 0.000
Sb1 0.248 0.500 0.205
Br1 0.542 0.000 0.830
Br2 0.988 0.500 0.531
```